Material: CaNdTlPb
Method: DFT, PBE
State: relaxed

Lattice parameters (Å, degrees): 4.4818 5.1389 5.1991 90.00 90.00 90.00
Closest atoms and distances in Å follow each position.
Fractional positions:
Ca 0.5000 0.5000 0.0000  4 Tl 3.41, 4 Pb 3.43, 4 Nd 3.66
Nd 0.5000 0.0000 0.5000  4 Pb 3.41, 4 Tl 3.43, 4 Ca 3.66
Tl 0.0000 0.0000 0.0000  4 Ca 3.41, 4 Nd 3.43, 4 Pb 3.66
Pb 0.0000 0.5000 0.5000  4 Nd 3.41, 4 Ca 3.43, 4 Tl 3.66

Values from the calculation:
The formation energy comes out at -0.47 eV/atom. As for the density of states at the Fermi level: 2.31 states/eV per cell.

Material: In2Se2I
Method: DFT, PBE
State: relaxed

Lattice parameters (Å, degrees): 8.3048 8.3048 3.7660 90.00 90.00 90.00
Closest atoms and distances in Å follow each position.
Fractional positions:
I 0.0000 0.0000 0.0000  4 In 3.14
I 0.5000 0.5000 0.0000  4 In 3.14
Se 0.1410 0.6410 0.5000  6 In 3.04-3.11, 1 Se 3.31
Se 0.6410 0.8590 0.5000  6 In 3.04-3.11, 1 Se 3.31
Se 0.8590 0.3590 0.5000  6 In 3.04-3.11, 1 Se 3.31
Se 0.3590 0.1410 0.5000  6 In 3.04-3.11, 1 Se 3.31
In 0.3437 0.8437 0.0000  6 Se 3.04-3.11, 2 I 3.14
In 0.8437 0.6563 0.0000  6 Se 3.04-3.11, 2 I 3.14
In 0.6563 0.1563 0.0000  6 Se 3.04-3.11, 2 I 3.14
In 0.1563 0.3437 0.0000  6 Se 3.04-3.11, 2 I 3.14

Values from the calculation:
As for the density of states at the Fermi level: 3.73 states/eV per cell. The calculation puts the formation energy from raw total energies at -0.161 eV per atom.

Material: Li2Pu3S6
Method: DFT, PBE
State: relaxed

Lattice parameters (Å, degrees): 6.9072 6.9056 6.4614 79.82 69.30 59.99
Closest atoms and distances in Å follow each position.
Fractional positions:
Li 0.1685 0.6630 0.5000  6 S 2.76-2.78
Li 0.8315 0.3370 0.5000  6 S 2.76-2.78
Pu 0.0000 0.0000 0.0000  6 S 2.69-2.74
Pu 0.3356 0.3289 0.0000  6 S 2.70-2.74
Pu 0.6644 0.6711 0.0000  6 S 2.70-2.74
S 0.4128 0.6594 0.7601  3 Pu 2.70-2.74, 2 Li 2.76
S 0.7540 0.0000 0.7574  3 Pu 2.69-2.73, 2 Li 2.78
S 0.0722 0.3406 0.7601  3 Pu 2.70-2.74, 2 Li 2.76
S 0.2460 0.0000 0.2426  3 Pu 2.69-2.73, 2 Li 2.78
S 0.5872 0.3406 0.2399  3 Pu 2.70-2.74, 2 Li 2.76
S 0.9278 0.6594 0.2399  3 Pu 2.70-2.74, 2 Li 2.76

Values from the calculation:
As for the density of states at the Fermi level: 24.51 states/eV per cell. The calculation puts the formation energy from raw total energies at -1.533 eV per atom.

Material: NbGa3Pt
Method: DFT, PBE
State: relaxed

Lattice parameters (Å, degrees): 4.7559 4.7559 4.7559 90.00 90.00 90.00
Closest atoms and distances in Å follow each position.
Fractional positions:
Nb 0.5000 0.5000 0.5000  12 Ga 3.36
Ga 0.0000 0.5000 0.0000  2 Pt 2.38
Ga 0.0000 0.0000 0.5000  2 Pt 2.38
Ga 0.5000 0.0000 0.0000  2 Pt 2.38
Pt 0.0000 0.0000 0.0000  6 Ga 2.38

Values from the calculation:
The formation energy comes out at 0.48 eV/atom. As for the density of states at the Fermi level: 5.91 states/eV per cell.

Material: Mn2CdCl
Method: DFT, PBE
State: relaxed

Lattice parameters (Å, degrees): 8.5498 8.5498 8.5498 21.26 21.26 21.26
Closest atoms and distances in Å follow each position.
Fractional positions:
Cl 0.7500 0.7500 0.7500  6 Mn 2.67
Mn 0.0056 0.0056 0.0056  3 Cl 2.67, 3 Cd 2.88
Mn 0.4944 0.4944 0.4944  3 Cl 2.67, 3 Cd 2.88
Cd 0.2500 0.2500 0.2500  6 Mn 2.88, 6 Cd 3.15

Values from the calculation:
As for the density of states at the Fermi level: 1.87 states/eV per cell. The calculation puts the formation energy from raw total energies at 0.126 eV per atom.

Material: Ca2Al2Pt
Method: DFT, PBE
State: relaxed

Lattice parameters (Å, degrees): 6.7705 6.7705 4.9231 90.00 90.00 90.00
Closest atoms and distances in Å follow each position.
Fractional positions:
Ca 0.1783 0.6783 0.5000  6 Al 3.02-3.27
Ca 0.6783 0.8217 0.5000  6 Al 3.02-3.27
Ca 0.8217 0.3217 0.5000  6 Al 3.02-3.27
Ca 0.3217 0.1783 0.5000  6 Al 3.02-3.27
Al 0.3618 0.8618 0.0000  2 Pt 2.62, 1 Al 2.65
Al 0.8618 0.6382 0.0000  2 Pt 2.62, 1 Al 2.65
Al 0.6382 0.1382 0.0000  2 Pt 2.62, 1 Al 2.65
Al 0.1382 0.3618 0.0000  2 Pt 2.62, 1 Al 2.65
Pt 0.0000 0.0000 0.0000  4 Al 2.62
Pt 0.5000 0.5000 0.0000  4 Al 2.62

Values from the calculation:
The formation energy comes out at -0.52 eV/atom. As for the density of states at the Fermi level: 7.72 states/eV per cell.

Material: Zr3CdC
Method: DFT, PBE
State: relaxed

Lattice parameters (Å, degrees): 3.8040 3.8040 17.4894 90.00 90.00 120.00
Closest atoms and distances in Å follow each position.
Fractional positions:
C 0.3333 0.6667 0.7500  5 Zr 2.20-2.22
C 0.6667 0.3333 0.2500  5 Zr 2.20-2.22
Zr 0.0000 0.0000 0.2500  3 C 2.20
Zr 0.0000 0.0000 0.7500  3 C 2.20
Zr 0.3333 0.6667 0.8772  1 C 2.22
Zr 0.3333 0.6667 0.6228  1 C 2.22
Zr 0.6667 0.3333 0.3772  1 C 2.22
Zr 0.6667 0.3333 0.1228  1 C 2.22
Cd 0.0000 0.0000 0.0000  6 Zr 3.07
Cd 0.0000 0.0000 0.5000  6 Zr 3.07

Values from the calculation:
The formation energy comes out at 0.04 eV/atom. As for the density of states at the Fermi level: 9.49 states/eV per cell.

Material: YZnCl2
Method: DFT, PBE
State: relaxed

Lattice parameters (Å, degrees): 4.4860 4.4860 4.2714 90.00 90.00 90.00
Closest atoms and distances in Å follow each position.
Fractional positions:
Y 0.5000 0.0000 0.5000  8 Cl 3.10, 4 Zn 3.17
Zn 0.0000 0.5000 0.5000  8 Cl 3.10, 4 Y 3.17
Cl 0.0000 0.0000 0.0000  4 Y 3.10, 4 Zn 3.10, 4 Cl 3.17
Cl 0.5000 0.5000 0.0000  4 Zn 3.10, 4 Y 3.10, 4 Cl 3.17

Values from the calculation:
As for the density of states at the Fermi level: 1.41 states/eV per cell. The calculation puts the formation energy from raw total energies at -0.892 eV per atom.

Material: ScGaBr2
Method: DFT, PBE
State: relaxed

Lattice parameters (Å, degrees): 6.9619 6.9619 7.8447 63.66 63.66 90.00
Closest atoms and distances in Å follow each position.
Fractional positions:
Sc 0.5000 0.5000 0.0000  4 Br 2.63
Sc 0.2500 0.7500 0.5000  4 Br 2.63
Ga 0.0000 0.0000 0.0000  4 Br 3.22
Ga 0.7500 0.2500 0.5000  4 Br 3.22
Br 0.5539 0.1250 0.2500  2 Sc 2.63
Br 0.1961 0.6250 0.2500  2 Sc 2.63
Br 0.3750 0.4461 0.7500  2 Sc 2.63
Br 0.8750 0.8039 0.7500  2 Sc 2.63

Values from the calculation:
As for the density of states at the Fermi level: 10.36 states/eV per cell. The calculation puts the formation energy from raw total energies at -0.447 eV per atom.

Material: Ta2PdC2
Method: DFT, PBE
State: relaxed

Lattice parameters (Å, degrees): 6.6781 6.6781 2.8210 90.00 90.00 90.00
Closest atoms and distances in Å follow each position.
Fractional positions:
C 0.1414 0.6414 0.5000  6 Ta 2.38-2.46
C 0.6414 0.8586 0.5000  6 Ta 2.38-2.46
C 0.8586 0.3586 0.5000  6 Ta 2.38-2.46
C 0.3586 0.1414 0.5000  6 Ta 2.38-2.46
Pd 0.0000 0.0000 0.0000  4 Ta 2.56, 2 Pd 2.82
Pd 0.5000 0.5000 0.0000  4 Ta 2.56, 2 Pd 2.82
Ta 0.3548 0.8548 0.0000  6 C 2.38-2.46, 2 Pd 2.56
Ta 0.8548 0.6452 0.0000  6 C 2.38-2.46, 2 Pd 2.56
Ta 0.6452 0.1452 0.0000  6 C 2.38-2.46, 2 Pd 2.56
Ta 0.1452 0.3548 0.0000  6 C 2.38-2.46, 2 Pd 2.56

Values from the calculation:
The formation energy comes out at 0.59 eV/atom. As for the density of states at the Fermi level: 6.59 states/eV per cell.

Material: Lu3SbC
Method: DFT, PBE
State: relaxed

Lattice parameters (Å, degrees): 4.7464 4.7464 4.7464 90.00 90.00 90.00
Closest atoms and distances in Å follow each position.
Fractional positions:
Sb 0.5000 0.5000 0.5000  12 Lu 3.36
C 0.0000 0.0000 0.0000  6 Lu 2.37
Lu 0.0000 0.5000 0.0000  2 C 2.37
Lu 0.0000 0.0000 0.5000  2 C 2.37
Lu 0.5000 0.0000 0.0000  2 C 2.37

Values from the calculation:
As for the density of states at the Fermi level: 3.04 states/eV per cell. The calculation puts the formation energy from raw total energies at -0.625 eV per atom.

Material: Tm2Si2O7
Method: DFT, PBE
State: relaxed

Lattice parameters (Å, degrees): 4.7661 5.6251 5.6251 105.36 97.29 97.29
Closest atoms and distances in Å follow each position.
Fractional positions:
Si 0.4098 0.2195 0.2195  4 O 1.64-1.65
Si 0.5902 0.7805 0.7805  4 O 1.64-1.65
Tm 0.0000 0.3080 0.6920  6 O 2.22-2.29
Tm 0.0000 0.6920 0.3080  6 O 2.22-2.29
O 0.7818 0.9157 0.6133  1 Si 1.65
O 0.2182 0.3867 0.0843  1 Si 1.65
O 0.2182 0.0843 0.3867  1 Si 1.65
O 0.7818 0.6133 0.9157  1 Si 1.65
O 0.5000 0.0000 0.0000  2 Si 1.64
O 0.2851 0.6157 0.6157  1 Si 1.64
O 0.7149 0.3843 0.3843  1 Si 1.64

Values from the calculation:
As for the density of states at the Fermi level: 0.00 states/eV per cell. The calculation puts the formation energy from raw total energies at -3.271 eV per atom.

Please write out number 5 again, unchanged.
Material: Mn2CdCl
Method: DFT, PBE
State: relaxed

Lattice parameters (Å, degrees): 8.5498 8.5498 8.5498 21.26 21.26 21.26
Closest atoms and distances in Å follow each position.
Fractional positions:
Cl 0.7500 0.7500 0.7500  6 Mn 2.67
Mn 0.0056 0.0056 0.0056  3 Cl 2.67, 3 Cd 2.88
Mn 0.4944 0.4944 0.4944  3 Cl 2.67, 3 Cd 2.88
Cd 0.2500 0.2500 0.2500  6 Mn 2.88, 6 Cd 3.15

Values from the calculation:
As for the density of states at the Fermi level: 1.87 states/eV per cell. The calculation puts the formation energy from raw total energies at 0.126 eV per atom.